(1)
Pr3Ho8Tm2 after structural relaxation, computed with PBE-GGA.

Unit cell a=5.8644 b=8.8494 c=17.1967 alpha=78.49 beta=89.26 gamma=73.89
Fractional coordinates of all 26 atoms:
Pr (0.0000, 0.0000, 0.0000)
Pr (0.0774, 0.8719, 0.2257)
Pr (0.2600, 0.2653, 0.2089)
Pr (0.5000, 0.0000, 0.5000)
Pr (0.7400, 0.7347, 0.7911)
Pr (0.9226, 0.1281, 0.7743)
Ho (0.1113, 0.7971, 0.4351)
Ho (0.1176, 0.8062, 0.6433)
Ho (0.2459, 0.7132, 0.8850)
Ho (0.2498, 0.4173, 0.7704)
Ho (0.2733, 0.6218, 0.1000)
Ho (0.2856, 0.4539, 0.3546)
Ho (0.4354, 0.0775, 0.6830)
Ho (0.4760, 0.0416, 0.8931)
Ho (0.5240, 0.9584, 0.1069)
Ho (0.5646, 0.9225, 0.3170)
Ho (0.7144, 0.5461, 0.6454)
Ho (0.7267, 0.3782, 0.9000)
Ho (0.7502, 0.5827, 0.2296)
Ho (0.7541, 0.2868, 0.1150)
Ho (0.8824, 0.1938, 0.3567)
Ho (0.8887, 0.2029, 0.5649)
Tm (0.2378, 0.3370, 0.9971)
Tm (0.2784, 0.4350, 0.5570)
Tm (0.7216, 0.5650, 0.4430)
Tm (0.7622, 0.6630, 0.0029)

## Properties
SG   P-1, No. 2
V   839.3 Å³ per cell
Total magnetization   0.00 Bohr magnetons per cell
DOS at the Fermi energy   1.48 states/eV/atom

(2)
Pr3Ho8Tm2 after structural relaxation, computed with PBE-GGA.

Unit cell a=10.6917 b=10.6917 c=5.6404 alpha=90.06 beta=90.06 gamma=42.43
Fractional coordinates of all 13 atoms:
Pr (0.0000, 0.0000, 0.0000)
Pr (0.2935, 0.7065, 0.5000)
Pr (0.7065, 0.2935, 0.5000)
Ho (0.1364, 0.1364, 0.4993)
Ho (0.1813, 0.5977, 0.9996)
Ho (0.3266, 0.3266, 0.4985)
Ho (0.4023, 0.8187, 0.0004)
Ho (0.5977, 0.1813, 0.9996)
Ho (0.6734, 0.6734, 0.5015)
Ho (0.8187, 0.4023, 0.0004)
Ho (0.8636, 0.8636, 0.5007)
Tm (0.2410, 0.2410, 0.9982)
Tm (0.7590, 0.7590, 0.0018)

## Properties
SG   C2/m, No. 12
V   435.0 Å³ per cell
Total magnetization   0.00 Bohr magnetons per cell
DOS at the Fermi energy   1.58 states/eV/atom

Most stable: (1) (next structure +16.3 kJ/mol of atoms)

(1)
Pr2Ho9Tm after structural relaxation, computed with PBE-GGA.

Unit cell a=11.2432 b=11.2432 c=3.4841 alpha=90.00 beta=90.00 gamma=120.00
Fractional coordinates of all 12 atoms:
Pr (0.3333, 0.6667, 0.0000)
Pr (0.6667, 0.3333, 0.0000)
Ho (0.0000, 0.5000, 0.0000)
Ho (0.1725, 0.3451, 0.5000)
Ho (0.1725, 0.8275, 0.5000)
Ho (0.3451, 0.1725, 0.5000)
Ho (0.5000, 0.0000, 0.0000)
Ho (0.5000, 0.5000, 0.0000)
Ho (0.6549, 0.8275, 0.5000)
Ho (0.8275, 0.1725, 0.5000)
Ho (0.8275, 0.6549, 0.5000)
Tm (0.0000, 0.0000, 0.0000)

## Properties
SG   P6/mmm, No. 191
V   381.4 Å³ per cell
Total magnetization   0.00 Bohr magnetons per cell
DOS at the Fermi energy   1.73 states/eV/atom

(2)
Pr2Ho9Tm after structural relaxation, computed with PBE-GGA.

Unit cell a=5.0248 b=5.0248 c=15.0669 alpha=90.00 beta=90.00 gamma=90.00
Fractional coordinates of all 12 atoms:
Pr (0.0000, 0.0000, 0.1674)
Pr (0.0000, 0.0000, 0.8326)
Ho (0.0000, 0.5000, 0.0000)
Ho (0.0000, 0.5000, 0.3365)
Ho (0.0000, 0.5000, 0.6635)
Ho (0.5000, 0.0000, 0.0000)
Ho (0.5000, 0.0000, 0.3365)
Ho (0.5000, 0.0000, 0.6635)
Ho (0.5000, 0.5000, 0.1685)
Ho (0.5000, 0.5000, 0.5000)
Ho (0.5000, 0.5000, 0.8315)
Tm (0.0000, 0.0000, 0.5000)

## Properties
SG   P4/mmm, No. 123
V   380.4 Å³ per cell
Total magnetization   0.00 Bohr magnetons per cell
DOS at the Fermi energy   1.44 states/eV/atom

Most stable: (2) (next structure +5.2 kJ/mol of atoms)

(1)
Pr2HoTm after structural relaxation, computed with PBE-GGA.

Unit cell a=11.8431 b=11.8431 c=11.8431 alpha=17.58 beta=17.58 gamma=17.58
Fractional coordinates of all 4 atoms:
Pr (0.2504, 0.2504, 0.2504)
Pr (0.7496, 0.7496, 0.7496)
Ho (0.5000, 0.5000, 0.5000)
Tm (0.0000, 0.0000, 0.0000)

## Properties
SG   R-3m, No. 166
V   132.2 Å³ per cell
Total magnetization   0.00 Bohr magnetons per cell
DOS at the Fermi energy   1.06 states/eV/atom

(2)
Pr2HoTm after structural relaxation, computed with PBE-GGA.

Unit cell a=3.6358 b=3.6358 c=10.0617 alpha=90.00 beta=90.00 gamma=90.00
Fractional coordinates of all 4 atoms:
Pr (0.0000, 0.0000, 0.2486)
Pr (0.0000, 0.0000, 0.7514)
Ho (0.5000, 0.5000, 0.5000)
Tm (0.5000, 0.5000, 0.0000)

## Properties
SG   P4/mmm, No. 123
V   133.0 Å³ per cell
Total magnetization   0.00 Bohr magnetons per cell
DOS at the Fermi energy   1.48 states/eV/atom

(3)
Pr2HoTm after structural relaxation, computed with PBE-GGA.

Unit cell a=5.6036 b=6.9327 c=6.9327 alpha=29.79 beta=90.00 gamma=90.00
Fractional coordinates of all 4 atoms:
Pr (0.0000, 0.0000, 0.0000)
Pr (0.5000, 0.3863, 0.3863)
Ho (0.0000, 0.7370, 0.7370)
Tm (0.5000, 0.1282, 0.1282)

## Properties
SG   Amm2, No. 38
V   133.8 Å³ per cell
Total magnetization   0.00 Bohr magnetons per cell
DOS at the Fermi energy   1.62 states/eV/atom

(4)
Pr2HoTm after structural relaxation, computed with PBE-GGA.

Unit cell a=5.7476 b=5.7476 c=5.7476 alpha=60.00 beta=60.00 gamma=60.00
Fractional coordinates of all 4 atoms:
Pr (0.2500, 0.2500, 0.2500)
Pr (0.7500, 0.7500, 0.7500)
Ho (0.0000, 0.0000, 0.0000)
Tm (0.5000, 0.5000, 0.5000)

## Properties
SG   Fm-3m, No. 225
V   134.3 Å³ per cell
Total magnetization   0.00 Bohr magnetons per cell
DOS at the Fermi energy   1.75 states/eV/atom

Most stable: (1) (next structure +0.7 kJ/mol of atoms)

(1)
Pr2HoTm after structural relaxation, computed with PBE-GGA.

Unit cell a=5.1444 b=5.1444 c=5.0160 alpha=90.00 beta=90.00 gamma=90.00
Fractional coordinates of all 4 atoms:
Pr (0.0000, 0.5000, 0.0000)
Pr (0.5000, 0.0000, 0.0000)
Ho (0.0000, 0.0000, 0.5000)
Tm (0.5000, 0.5000, 0.5000)

## Properties
SG   P4/mmm, No. 123
V   132.7 Å³ per cell
Total magnetization   0.00 Bohr magnetons per cell
DOS at the Fermi energy   1.51 states/eV/atom

(2)
Pr2HoTm after structural relaxation, computed with PBE-GGA.

Unit cell a=11.8813 b=11.8813 c=11.8813 alpha=17.56 beta=17.56 gamma=17.56
Fractional coordinates of all 4 atoms:
Pr (0.0000, 0.0000, 0.0000)
Pr (0.1667, 0.1667, 0.1667)
Ho (0.7504, 0.7504, 0.7504)
Tm (0.5826, 0.5826, 0.5826)

## Properties
SG   R3m, No. 160
V   133.3 Å³ per cell
Total magnetization   0.00 Bohr magnetons per cell
DOS at the Fermi energy   1.42 states/eV/atom

Most stable: (1) (next structure +0.5 kJ/mol of atoms)

(1)
Pr4HoTm after structural relaxation, computed with PBE-GGA.

Unit cell a=8.3264 b=8.3264 c=3.5038 alpha=90.00 beta=90.00 gamma=90.02
Fractional coordinates of all 6 atoms:
Pr (0.2386, 0.7614, 0.0000)
Pr (0.2602, 0.2602, 0.5000)
Pr (0.7398, 0.7398, 0.5000)
Pr (0.7614, 0.2386, 0.0000)
Ho (0.5000, 0.5000, 0.0000)
Tm (0.0000, 0.0000, 0.5000)

## Properties
SG   Cmmm, No. 65
V   242.9 Å³ per cell
Total magnetization   0.00 Bohr magnetons per cell
DOS at the Fermi energy   1.73 states/eV/atom

(2)
Pr4HoTm after structural relaxation, computed with PBE-GGA.

Unit cell a=3.6648 b=6.2962 c=9.6134 alpha=77.19 beta=79.04 gamma=73.26
Fractional coordinates of all 6 atoms:
Pr (0.1645, 0.0021, 0.1683)
Pr (0.1643, 0.5040, 0.6669)
Pr (0.8357, 0.4960, 0.3331)
Pr (0.8355, 0.9979, 0.8317)
Ho (0.5000, 0.5000, 0.0000)
Tm (0.5000, 0.0000, 0.5000)

## Properties
SG   P-1, No. 2
V   205.2 Å³ per cell
Total magnetization   0.00 Bohr magnetons per cell
DOS at the Fermi energy   1.45 states/eV/atom

Most stable: (2) (next structure +55.9 kJ/mol of atoms)

(1)
Pr7Ho4Tm after structural relaxation, computed with PBE-GGA.

Unit cell a=6.2898 b=7.2530 c=9.6047 alpha=100.80 beta=108.78 gamma=90.06
Fractional coordinates of all 12 atoms:
Pr (0.0000, 0.0000, 0.0000)
Pr (0.0025, 0.3362, 0.3345)
Pr (0.4949, 0.9155, 0.6637)
Pr (0.4974, 0.2529, 0.9993)
Pr (0.5026, 0.7471, 0.0007)
Pr (0.5051, 0.0845, 0.3363)
Pr (0.9975, 0.6638, 0.6655)
Ho (0.0005, 0.1687, 0.6671)
Ho (0.4971, 0.5839, 0.3335)
Ho (0.5029, 0.4161, 0.6665)
Ho (0.9995, 0.8313, 0.3329)
Tm (0.0000, 0.5000, 0.0000)

## Properties
SG   P-1, No. 2
V   406.6 Å³ per cell
Total magnetization   0.00 Bohr magnetons per cell
DOS at the Fermi energy   1.46 states/eV/atom

(2)
Pr7Ho4Tm after structural relaxation, computed with PBE-GGA.

Unit cell a=8.6669 b=8.6669 c=9.4641 alpha=114.51 beta=114.51 gamma=40.78
Fractional coordinates of all 12 atoms:
Pr (0.0000, 0.0000, 0.0000)
Pr (0.2892, 0.2892, 0.7657)
Pr (0.2912, 0.2912, 0.1178)
Pr (0.4154, 0.4154, 0.5545)
Pr (0.5846, 0.5846, 0.4455)
Pr (0.7088, 0.7088, 0.8822)
Pr (0.7108, 0.7108, 0.2343)
Ho (0.0703, 0.0703, 0.6968)
Ho (0.1713, 0.1713, 0.3856)
Ho (0.8287, 0.8287, 0.6144)
Ho (0.9297, 0.9297, 0.3031)
Tm (0.5000, 0.5000, 0.0000)

## Properties
SG   C2/m, No. 12
V   416.4 Å³ per cell
Total magnetization   0.00 Bohr magnetons per cell
DOS at the Fermi energy   1.59 states/eV/atom

Most stable: (1) (next structure +18.9 kJ/mol of atoms)

(1)
Pr2Ho4Tm5 after structural relaxation, computed with PBE-GGA.

Unit cell a=10.9207 b=10.9207 c=10.9207 alpha=161.72 beta=116.83 gamma=66.37
Fractional coordinates of all 11 atoms:
Pr (0.2029, 0.2029, 0.0000)
Pr (0.7971, 0.7971, 0.0000)
Ho (0.2749, 0.0000, 0.2749)
Ho (0.4097, 0.4097, 0.0000)
Ho (0.5903, 0.5903, 0.0000)
Ho (0.7251, 0.0000, 0.7251)
Tm (0.0000, 0.5000, 0.5000)
Tm (0.1123, 0.8214, 0.2908)
Tm (0.4694, 0.1786, 0.2908)
Tm (0.5306, 0.8214, 0.7092)
Tm (0.8877, 0.1786, 0.7092)

## Properties
SG   Immm, No. 71
V   362.7 Å³ per cell
Total magnetization   0.00 Bohr magnetons per cell
DOS at the Fermi energy   1.22 states/eV/atom

(2)
Pr2Ho4Tm5 after structural relaxation, computed with PBE-GGA.

Unit cell a=3.5417 b=8.6726 c=11.7400 alpha=75.80 beta=81.39 gamma=89.92
Fractional coordinates of all 11 atoms:
Pr (0.0900, 0.2291, 0.3169)
Pr (0.9100, 0.7709, 0.6831)
Ho (0.1833, 0.9536, 0.1353)
Ho (0.4524, 0.1404, 0.5937)
Ho (0.5476, 0.8596, 0.4063)
Ho (0.8167, 0.0464, 0.8647)
Tm (0.0000, 0.5000, 0.5000)
Tm (0.2721, 0.6808, 0.9573)
Tm (0.3636, 0.4070, 0.7738)
Tm (0.6364, 0.5930, 0.2262)
Tm (0.7279, 0.3192, 0.0427)

## Properties
SG   P-1, No. 2
V   345.4 Å³ per cell
Total magnetization   0.00 Bohr magnetons per cell
DOS at the Fermi energy   1.37 states/eV/atom

Most stable: (2) (next structure +18.1 kJ/mol of atoms)

(1)
Pr7HoTm3 after structural relaxation, computed with PBE-GGA.

Unit cell a=7.1996 b=10.3268 c=12.5602 alpha=66.63 beta=73.39 gamma=69.62
Fractional coordinates of all 22 atoms:
Pr (0.0789, 0.3072, 0.0280)
Pr (0.0807, 0.8071, 0.5241)
Pr (0.2008, 0.2500, 0.7500)
Pr (0.3365, 0.0408, 0.2719)
Pr (0.3500, 0.5411, 0.7719)
Pr (0.4120, 0.6929, 0.9758)
Pr (0.4140, 0.1928, 0.4721)
Pr (0.5860, 0.8072, 0.5279)
Pr (0.5880, 0.3071, 0.0242)
Pr (0.6500, 0.4589, 0.2281)
Pr (0.6635, 0.9592, 0.7281)
Pr (0.7992, 0.7500, 0.2500)
Pr (0.9193, 0.1929, 0.4759)
Pr (0.9211, 0.6928, 0.9720)
Ho (0.0000, 0.0000, 0.0000)
Ho (0.0000, 0.5000, 0.5000)
Tm (0.1681, 0.4287, 0.2263)
Tm (0.1775, 0.9286, 0.7262)
Tm (0.5000, 0.0000, 0.0000)
Tm (0.5000, 0.5000, 0.5000)
Tm (0.8225, 0.0714, 0.2738)
Tm (0.8319, 0.5713, 0.7737)

## Properties
SG   P-1, No. 2
V   791.6 Å³ per cell
Total magnetization   0.00 Bohr magnetons per cell
DOS at the Fermi energy   1.49 states/eV/atom

(2)
Pr7HoTm3 after structural relaxation, computed with PBE-GGA.

Unit cell a=8.6052 b=8.6052 c=5.9333 alpha=110.13 beta=110.13 gamma=83.78
Fractional coordinates of all 11 atoms:
Pr (0.0000, 0.0000, 0.0000)
Pr (0.0972, 0.5214, 0.3094)
Pr (0.2926, 0.2926, 0.7937)
Pr (0.4786, 0.9028, 0.6906)
Pr (0.5214, 0.0972, 0.3094)
Pr (0.7074, 0.7074, 0.2063)
Pr (0.9028, 0.4786, 0.6906)
Ho (0.0000, 0.0000, 0.5000)
Tm (0.2950, 0.7050, 0.0000)
Tm (0.5000, 0.5000, 0.5000)
Tm (0.7050, 0.2950, 0.0000)

## Properties
SG   C2/m, No. 12
V   387.3 Å³ per cell
Total magnetization   0.00 Bohr magnetons per cell
DOS at the Fermi energy   1.24 states/eV/atom

Most stable: (1) (next structure +3.7 kJ/mol of atoms)

(1)
Pr4Ho4Tm after structural relaxation, computed with PBE-GGA.

Unit cell a=8.9522 b=8.9522 c=6.8485 alpha=112.14 beta=112.14 gamma=36.71
Fractional coordinates of all 9 atoms:
Pr (0.1324, 0.1324, 0.4558)
Pr (0.2806, 0.2806, 0.2140)
Pr (0.7194, 0.7194, 0.7860)
Pr (0.8676, 0.8676, 0.5442)
Ho (0.0710, 0.0710, 0.8714)
Ho (0.3801, 0.3801, 0.8324)
Ho (0.6199, 0.6199, 0.1676)
Ho (0.9290, 0.9290, 0.1286)
Tm (0.5000, 0.5000, 0.5000)

## Properties
SG   C2/m, No. 12
V   301.1 Å³ per cell
Total magnetization   0.00 Bohr magnetons per cell
DOS at the Fermi energy   1.64 states/eV/atom

(2)
Pr4Ho4Tm after structural relaxation, computed with PBE-GGA.

Unit cell a=8.0681 b=8.0681 c=8.0681 alpha=95.68 beta=95.68 gamma=143.34
Fractional coordinates of all 9 atoms:
Pr (0.1663, 0.1663, 0.3326)
Pr (0.1663, 0.8337, 0.0000)
Pr (0.8337, 0.1663, 0.0000)
Pr (0.8337, 0.8337, 0.6674)
Ho (0.1648, 0.5000, 0.6648)
Ho (0.5000, 0.1648, 0.6648)
Ho (0.5000, 0.8352, 0.3352)
Ho (0.8352, 0.5000, 0.3352)
Tm (0.5000, 0.5000, 0.0000)

## Properties
SG   I4/mmm, No. 139
V   297.7 Å³ per cell
Total magnetization   0.00 Bohr magnetons per cell
DOS at the Fermi energy   1.45 states/eV/atom

Most stable: (2) (next structure +8.4 kJ/mol of atoms)

(1)
Pr7HoTm4 after structural relaxation, computed with PBE-GGA.

Unit cell a=6.3217 b=7.3091 c=9.0061 alpha=89.94 beta=76.38 gamma=89.87
Fractional coordinates of all 12 atoms:
Pr (0.0000, 0.0000, 0.0000)
Pr (0.2258, 0.0006, 0.3352)
Pr (0.2804, 0.2532, 0.6644)
Pr (0.4985, 0.7433, 0.9972)
Pr (0.5015, 0.2567, 0.0028)
Pr (0.7196, 0.7468, 0.3356)
Pr (0.7742, 0.9994, 0.6648)
Ho (0.0000, 0.5000, 0.0000)
Tm (0.2173, 0.5004, 0.3360)
Tm (0.2756, 0.7413, 0.6670)
Tm (0.7244, 0.2587, 0.3330)
Tm (0.7827, 0.4996, 0.6640)

## Properties
SG   P-1, No. 2
V   404.4 Å³ per cell
Total magnetization   0.00 Bohr magnetons per cell
DOS at the Fermi energy   1.28 states/eV/atom

(2)
Pr7HoTm4 after structural relaxation, computed with PBE-GGA.

Unit cell a=8.6434 b=8.6434 c=9.5305 alpha=115.59 beta=115.59 gamma=40.82
Fractional coordinates of all 12 atoms:
Pr (0.0000, 0.0000, 0.0000)
Pr (0.2805, 0.2805, 0.7499)
Pr (0.2878, 0.2878, 0.1105)
Pr (0.4118, 0.4118, 0.5461)
Pr (0.5882, 0.5882, 0.4539)
Pr (0.7122, 0.7122, 0.8895)
Pr (0.7195, 0.7195, 0.2501)
Ho (0.5000, 0.5000, 0.0000)
Tm (0.0670, 0.0670, 0.7002)
Tm (0.1675, 0.1675, 0.3704)
Tm (0.8325, 0.8325, 0.6296)
Tm (0.9330, 0.9330, 0.2998)

## Properties
SG   C2/m, No. 12
V   413.0 Å³ per cell
Total magnetization   0.00 Bohr magnetons per cell
DOS at the Fermi energy   1.61 states/eV/atom

Most stable: (1) (next structure +20.0 kJ/mol of atoms)